(1)
Material: SnIBr
Method: DFT, PBE
State: relaxed

Results
Crystal system: monoclinic

Unit cell a=15.148 b=4.350 c=9.949 alpha=90.00 beta=130.42 gamma=90.00
Space group C2/m (No. 12)
Inequivalent atoms, fractional coordinates:
Sn (0.105, 0.000, 0.239) (multiplicity 4)
I (0.181, 0.000, 0.599) (multiplicity 4)
Br (0.054, 0.500, 0.854) (multiplicity 4)



(2)
Material: Cs5Rb5F
Method: DFT, PBE
State: relaxed

Results
Crystal system: monoclinic

Unit cell a=16.615 b=8.170 c=14.278 alpha=90.00 beta=101.46 gamma=90.00
Space group C2/m (No. 12)
Inequivalent atoms, fractional coordinates:
Cs (0.000, 0.000, 0.000) (multiplicity 2)
Cs (0.104, 0.500, 0.190) (multiplicity 4)
Cs (0.157, 0.500, 0.909) (multiplicity 4)
Rb (0.000, 0.500, 0.500) (multiplicity 2)
Rb (0.094, 0.000, 0.681) (multiplicity 4)
Rb (0.207, 0.000, 0.391) (multiplicity 4)
F (0.000, 0.500, 0.000) (multiplicity 2)



Number 1: magnetic moment 0.00 μB per cell, total energy -3.009 eV per atom. Number 2: magnetic moment 0.00 μB per cell, total energy -1.443 eV per atom.